1.
Below is LaHgPb2 after structural relaxation, with properties calculated at the PBE-GGA level.

Structure (POSCAR):
```
LaHgPb2
1.0
2.712 -3.052 0.000
2.712 3.052 0.000
0.000 0.000 7.254
La Hg Pb
1 1 2
Cartesian
0.000 0.000 0.000
0.000 0.000 3.627
2.712 0.000 1.986
2.712 0.000 5.267
```

Values from the calculation:
**Energy**: -3.3907 eV per atom
**Space group**: Cmmm (65)

2.
Below is LaHgPb2 after structural relaxation, with properties calculated at the PBE-GGA level.

Structure (POSCAR):
```
LaHgPb2
1.0
-2.380 2.393 5.156
2.380 -2.393 5.156
2.380 2.393 -5.156
La Hg Pb
1 1 2
Cartesian
0.000 0.000 0.000
2.380 0.000 2.750
0.000 0.000 5.475
0.000 2.393 2.682
```

Values from the calculation:
**Energy**: -3.5348 eV per atom
**Space group**: Imm2 (44)

3.
Below is LaHgPb2 after structural relaxation, with properties calculated at the PBE-GGA level.

Structure (POSCAR):
```
LaHgPb2
1.0
1.821 1.051 10.676
-1.821 1.051 10.676
0.000 -2.103 10.676
La Hg Pb
1 1 2
Cartesian
0.000 0.000 0.000
0.000 0.000 16.014
0.000 0.000 7.817
0.000 0.000 24.212
```

Values from the calculation:
**Energy**: -3.2521 eV per atom
**Space group**: R-3m (166)

4.
Below is LaPmHgPb after structural relaxation, with properties calculated at the PBE-GGA level.

Structure (POSCAR):
```
LaPmHgPb
1.0
0.000 3.912 3.912
3.912 0.000 3.912
3.912 3.912 0.000
La Pm Hg Pb
1 1 1 1
Cartesian
0.000 0.000 0.000
3.912 3.912 3.912
5.868 5.868 5.868
1.956 1.956 1.956
```

Values from the calculation:
**Energy**: -3.9493 eV per atom
**Space group**: F-43m (216)

5.
Below is La2PrHg2Pb2 after structural relaxation, with properties calculated at the PBE-GGA level.

Structure (POSCAR):
```
La2PrHg2Pb2
1.0
2.565 1.481 9.425
-2.565 1.481 9.425
0.000 -2.962 9.425
La Pr Hg Pb
2 1 2 2
Cartesian
0.000 0.000 3.749
0.000 0.000 24.525
0.000 0.000 0.000
0.000 0.000 12.156
0.000 0.000 16.118
0.000 0.000 7.741
0.000 0.000 20.533
```

Values from the calculation:
**Energy**: -3.5588 eV per atom
**Space group**: R-3m (166)

6.
Below is RbLaHgPb after structural relaxation, with properties calculated at the PBE-GGA level.

Structure (POSCAR):
```
RbLaHgPb
1.0
0.000 4.102 4.102
4.102 0.000 4.102
4.102 4.102 0.000
Rb La Hg Pb
1 1 1 1
Cartesian
0.000 0.000 0.000
4.102 4.102 4.102
2.051 2.051 2.051
6.153 6.153 6.153
```

Values from the calculation:
**Energy**: -2.7113 eV per atom
**Space group**: F-43m (216)

7.
Below is La2HgRhPb after structural relaxation, with properties calculated at the PBE-GGA level.

Structure (POSCAR):
```
La2HgRhPb
1.0
5.432 0.000 0.000
0.000 5.432 0.000
0.000 0.000 5.241
La Hg Rh Pb
2 1 1 1
Cartesian
0.000 2.716 0.000
2.716 0.000 0.000
0.000 0.000 2.620
0.000 0.000 0.000
2.716 2.716 2.620
```

Values from the calculation:
**Energy**: -4.7337 eV per atom
**Space group**: P4/mmm (123)
**Energy above the lowest structure with this stoichiometry**: 0 meV/atom

8.
Below is La2HgRhPb after structural relaxation, with properties calculated at the PBE-GGA level.

Structure (POSCAR):
```
La2HgRhPb
1.0
5.509 0.000 0.000
0.000 5.509 0.000
0.000 0.000 5.200
La Hg Rh Pb
2 1 1 1
Cartesian
0.000 2.755 0.000
2.755 0.000 0.000
0.000 0.000 2.600
2.755 2.755 0.000
2.755 2.755 2.600
```

Values from the calculation:
**Energy**: -4.6838 eV per atom
**Space group**: P4/mmm (123)
**Energy above the lowest structure with this stoichiometry**: 50 meV/atom

9.
Below is LaHgRuPb2 after structural relaxation, with properties calculated at the PBE-GGA level.

Structure (POSCAR):
```
LaHgRuPb2
1.0
5.339 0.000 0.000
0.000 5.339 0.000
0.000 0.000 5.282
La Hg Ru Pb
1 1 1 2
Cartesian
0.000 0.000 0.000
2.669 2.669 0.000
0.000 0.000 2.641
0.000 2.669 2.641
2.669 0.000 2.641
```

Values from the calculation:
**Energy**: -4.5435 eV per atom
**Space group**: P4/mmm (123)

10.
Below is LaSc2HgPb after structural relaxation, with properties calculated at the PBE-GGA level.

Structure (POSCAR):
```
LaSc2HgPb
1.0
5.332 0.000 0.000
0.000 5.332 0.000
0.000 0.000 5.760
La Sc Hg Pb
1 2 1 1
Cartesian
0.000 0.000 0.000
0.000 2.666 2.880
2.666 0.000 2.880
2.666 2.666 2.880
2.666 2.666 0.000
```

Values from the calculation:
**Energy**: -4.0536 eV per atom
**Space group**: P4/mmm (123)

11.
Below is LaHgPbSe2 after structural relaxation, with properties calculated at the PBE-GGA level.

Structure (POSCAR):
```
LaHgPbSe2
1.0
5.548 0.000 0.000
0.000 5.548 0.000
0.000 0.000 6.079
La Hg Pb Se
1 1 1 2
Cartesian
0.000 0.000 0.000
2.774 2.774 0.000
0.000 0.000 3.040
0.000 2.774 3.040
2.774 0.000 3.040
```

Values from the calculation:
**ΔE_f (raw)**: 0.374 eV/f.u.
**Energy**: -3.1065 eV per atom
**Space group**: P4/mmm (123)

12.
Below is LaSm2Hg2Pb2 after structural relaxation, with properties calculated at the PBE-GGA level.

Structure (POSCAR):
```
LaSm2Hg2Pb2
1.0
2.566 1.481 9.218
-2.566 1.481 9.218
0.000 -2.963 9.218
La Sm Hg Pb
1 2 2 2
Cartesian
0.000 0.000 0.000
0.000 0.000 3.641
0.000 0.000 24.015
0.000 0.000 12.026
0.000 0.000 15.629
0.000 0.000 7.475
0.000 0.000 20.180
```

Values from the calculation:
**Energy**: -3.4964 eV per atom
**Space group**: R-3m (166)

13.
Below is LaSmHgPb after structural relaxation, with properties calculated at the PBE-GGA level.

Structure (POSCAR):
```
LaSmHgPb
1.0
0.000 3.903 3.903
3.903 0.000 3.903
3.903 3.903 0.000
La Sm Hg Pb
1 1 1 1
Cartesian
0.000 0.000 0.000
3.903 3.903 3.903
5.854 5.854 5.854
1.951 1.951 1.951
```

Values from the calculation:
**Energy**: -3.9359 eV per atom
**Space group**: F-43m (216)

14.
Below is LaSnHgPb after structural relaxation, with properties calculated at the PBE-GGA level.

Structure (POSCAR):
```
LaSnHgPb
1.0
4.690 0.000 0.000
0.000 4.842 0.000
0.000 0.000 4.941
La Sn Hg Pb
1 1 1 1
Cartesian
0.000 0.000 0.000
2.345 2.421 0.000
0.000 2.421 2.471
2.345 0.000 2.471
```

Values from the calculation:
**Energy**: -3.7277 eV per atom
**Space group**: Pmmm (47)
**Energy above the lowest structure with this stoichiometry**: 0 meV/atom